Entry 1:
ZrRuCl2 | the Alexandria database | PBE | optimized geometry; symmetry = P2/m (10); ΔE_f (raw) = -16.3 kJ/mol of atoms; uncorrected energy = -5.5481 eV per atom; energy relative to the lowest polymorph listed for this composition = 431 meV per atom; V = 18.7 A^3/atom
1.0
-2.6047 -2.6484 2.1886
-0.5452 -2.2927 -3.4233
3.2675 -2.4028 0.9811
Ru Cl Zr
1 2 1
Cartesian
-0.6218 -2.4981 0.4837
0.0227 -0.0388 -0.0200
1.3385 -2.3089 -1.2011
0.7393 -4.8458 -0.7374



Entry 2:
ZrRuCl2 | the Alexandria database | PBE | optimized geometry; symmetry = F-43m (216); ΔE_f (raw) = 2.9 kJ/mol of atoms; uncorrected energy = -5.3493 eV per atom; energy relative to the lowest polymorph listed for this composition = 630 meV per atom; V = 17.6 A^3/atom
1.0
-3.3609 -1.2521 -2.9297
-2.4525 -3.8466 0.7972
-4.4353 0.3087 1.2960
Zr Cl Ru
1 2 1
Cartesian
-7.6865 -3.5925 -0.6274
0.0000 0.0000 0.0000
-2.5622 -1.1975 -0.2091
-5.1244 -2.3950 -0.4182



Entry 3:
ZrRuCl2 | the Alexandria database | PBE | optimized geometry; symmetry = R3m (160); ΔE_f (raw) = -56.0 kJ/mol of atoms; uncorrected energy = -5.9600 eV per atom; energy relative to the lowest polymorph listed for this composition = 19 meV per atom; V = 22.4 A^3/atom
1.0
9.0852 0.0076 0.0045
8.4409 3.3604 0.0045
8.4409 1.6221 2.9429
Cl Zr Ru
2 1 1
Cartesian
0.5876 0.1129 0.0668
5.8908 1.1320 0.6697
19.6893 3.7837 2.2383
12.7827 2.4565 1.4532



Entry 4:
ZrRuCl2 | the Alexandria database | PBE | optimized geometry; symmetry = Pmmm (47); ΔE_f (raw) = -13.0 kJ/mol of atoms; uncorrected energy = -5.5142 eV per atom; energy relative to the lowest polymorph listed for this composition = 465 meV per atom; V = 17.5 A^3/atom
1.0
3.0600 0.0000 0.0000
0.0000 5.3303 0.0000
0.0000 0.0000 4.3010
Cl Ru Zr
2 1 1
Cartesian
0.0000 0.0000 0.0000
1.5300 2.6651 0.0000
1.5300 0.0000 2.1505
0.0000 2.6651 2.1505



Entry 5:
ZrRuCl2 | the Alexandria database | PBE | optimized geometry; symmetry = Pm (6); ΔE_f (raw) = -57.9 kJ/mol of atoms; uncorrected energy = -5.9792 eV per atom; energy relative to the lowest polymorph listed for this composition = 0 meV per atom; V = 24.8 A^3/atom
1.0
3.7027 0.0000 0.0000
0.0000 3.7723 0.1200
0.0000 1.4378 7.1488
Cl Ru Zr
2 1 1
Cartesian
0.0000 5.0613 6.5701
1.8514 1.7088 2.5344
0.0000 2.3125 4.2851
1.8514 3.9427 4.7823



Entry 6:
ZrRu2Cl | the Alexandria database | PBE | optimized geometry; symmetry = F-43m (216); ΔE_f (raw) = 35.5 kJ/mol of atoms; uncorrected energy = -6.8685 eV per atom; energy relative to the lowest polymorph listed for this composition = 515 meV per atom; V = 16.4 A^3/atom
1.0
4.5300 0.0000 0.0000
2.2650 3.9231 0.0000
2.2650 1.3077 3.6987
Zr Ru Cl
1 2 1
Cartesian
6.7950 3.9231 2.7740
2.2650 1.3077 0.9247
0.0000 0.0000 0.0000
4.5300 2.6154 1.8494



Entry 7:
ZrRu2Cl2 | the Alexandria database | PBE | optimized geometry; symmetry = I4/mmm (139); ΔE_f (raw) = 62.9 kJ/mol of atoms; uncorrected energy = -5.5070 eV per atom; energy relative to the lowest polymorph listed for this composition = 393 meV per atom; V = 16.9 A^3/atom
1.0
3.9736 0.0000 0.0000
0.0000 3.9736 0.0000
1.9868 1.9868 5.3436
Cl Zr Ru
2 1 2
Cartesian
1.9868 1.9868 1.3205
3.9736 3.9736 4.0231
0.0000 0.0000 0.0000
3.9736 1.9868 2.6718
1.9868 3.9736 2.6718



Entry 8:
ZrRu4Cl | the Alexandria database | PBE | optimized geometry; symmetry = F-43m (216); ΔE_f (raw) = 49.1 kJ/mol of atoms; uncorrected energy = -7.4072 eV per atom; V = 16.9 A^3/atom
1.0
0.0000 3.7001 3.7001
3.7001 0.0000 3.7001
3.7001 3.7001 0.0000
Zr Ru Cl
1 4 1
Cartesian
5.5501 5.5501 5.5501
2.7759 4.6242 4.6242
4.6242 4.6242 2.7759
2.7759 2.7759 2.7759
4.6242 2.7759 4.6242
0.0000 0.0000 0.0000